A geometry-optimized Pr2CdGa3Pd4 structure. Source: the Alexandria database, functional PBE.

## Properties
space-group type: No. 115
energy relative to the elements: -0.72 eV per atom
crystal system: tetragonal

a b c (Å): 4.340 4.340 10.801
angles (deg): 90.00 90.00 90.00
Sites, in units of the cell vectors:
1 Pd 0.000 0.500 0.352
2 Pd 0.500 0.500 0.000
3 Pd 0.500 0.000 0.648
4 Pd 0.000 0.000 0.000
5 Ga 0.500 0.000 0.878
6 Ga 0.000 0.500 0.122
7 Ga 0.000 0.000 0.500
8 Cd 0.500 0.500 0.500
9 Pr 0.500 0.000 0.239
10 Pr 0.000 0.500 0.761